## CdP2O10 (PBE)

Data for a relaxed structure of CdP2O10.

abc: 12.1636 12.1636 5.4604
angles: 90.00 90.00 120.00
With the nearest neighbours (Å) after each atom.
Atoms (fractional coordinates):
Cd 0.0000 0.5000 0.0000  4 O 2.20-2.22
Cd 0.5000 0.0000 0.0000  4 O 2.20-2.22
Cd 0.5000 0.5000 0.0000  4 O 2.20-2.22
P 0.1835 0.6408 0.5052  4 O 1.50-1.63
P 0.3592 0.5427 0.5052  4 O 1.50-1.63
P 0.4573 0.8165 0.5052  4 O 1.50-1.63
P 0.5427 0.1835 0.4948  4 O 1.50-1.63
P 0.6408 0.4573 0.4948  4 O 1.50-1.63
P 0.8165 0.3592 0.4948  4 O 1.50-1.63
O 0.0448 0.2179 0.2994  1 O 1.23
O 0.0609 0.2751 0.1046  1 O 1.23
O 0.0825 0.6229 0.3266  1 P 1.50
O 0.1583 0.6404 0.7750  1 P 1.50
O 0.1730 0.9552 0.2994  1 O 1.23
O 0.2142 0.9391 0.1046  1 O 1.23
O 0.2179 0.1730 0.7006  1 O 1.23
O 0.2265 0.5372 0.4392  2 P 1.62-1.63
O 0.2751 0.2142 0.8954  1 O 1.23
O 0.3107 0.7735 0.4392  2 P 1.62-1.63
O 0.3596 0.5179 0.7750  1 P 1.50
O 0.3771 0.4596 0.3266  1 P 1.50
O 0.4596 0.0825 0.6734  1 P 1.50
O 0.4628 0.6893 0.4392  2 P 1.62-1.63
O 0.4821 0.8417 0.7750  1 P 1.50
O 0.5179 0.1583 0.2250  1 P 1.50
O 0.5372 0.3107 0.5608  2 P 1.62-1.63
O 0.5404 0.9175 0.3266  1 P 1.50
O 0.6229 0.5404 0.6734  1 P 1.50
O 0.6404 0.4821 0.2250  1 P 1.50
O 0.6893 0.2265 0.5608  2 P 1.62-1.63
O 0.7249 0.7858 0.1046  1 O 1.23
O 0.7735 0.4628 0.5608  2 P 1.62-1.63
O 0.7821 0.8270 0.2994  1 O 1.23
O 0.7858 0.0609 0.8954  1 O 1.23
O 0.8270 0.0448 0.7006  1 O 1.23
O 0.8417 0.3596 0.2250  1 P 1.50
O 0.9175 0.3771 0.6734  1 P 1.50
O 0.9391 0.7249 0.8954  1 O 1.23
O 0.9552 0.7821 0.7006  1 O 1.23

***

## Cd2P3O9 (PBE)

Data for a relaxed structure of Cd2P3O9.

abc: 6.7844 6.7844 10.0570
angles: 90.00 90.00 120.00
With the nearest neighbours (Å) after each atom.
Atoms (fractional coordinates):
Cd 0.3333 0.6667 0.0008  6 O 2.46-2.47
Cd 0.3333 0.6667 0.4992  6 O 2.46-2.47
Cd 0.6667 0.3333 0.5008  6 O 2.46-2.47
Cd 0.6667 0.3333 0.9992  6 O 2.46-2.47
P 0.0013 0.7452 0.7500  4 O 1.52-1.61
P 0.2548 0.2561 0.7500  4 O 1.52-1.61
P 0.2561 0.0013 0.2500  4 O 1.52-1.61
P 0.7439 0.9987 0.7500  4 O 1.52-1.61
P 0.7452 0.7439 0.2500  4 O 1.52-1.61
P 0.9987 0.2548 0.2500  4 O 1.52-1.61
O 0.0011 0.7854 0.2500  2 P 1.61
O 0.0017 0.6310 0.6206  1 P 1.52
O 0.0017 0.6310 0.8794  1 P 1.52
O 0.2146 0.2157 0.2500  2 P 1.61
O 0.2157 0.0011 0.7500  2 P 1.61
O 0.3690 0.3707 0.6206  1 P 1.52
O 0.3690 0.3707 0.8794  1 P 1.52
O 0.3707 0.0017 0.1206  1 P 1.52
O 0.3707 0.0017 0.3794  1 P 1.52
O 0.6293 0.9983 0.6206  1 P 1.52
O 0.6293 0.9983 0.8794  1 P 1.52
O 0.6310 0.6293 0.1206  1 P 1.52
O 0.6310 0.6293 0.3794  1 P 1.52
O 0.7843 0.9989 0.2500  2 P 1.61
O 0.7854 0.7843 0.7500  2 P 1.61
O 0.9983 0.3690 0.1206  1 P 1.52
O 0.9983 0.3690 0.3794  1 P 1.52
O 0.9989 0.2146 0.7500  2 P 1.61

***

## CdPO2 (PBE)

Data for a relaxed structure of CdPO2.

abc: 3.2711 3.2711 18.0052
angles: 90.00 90.00 120.00
With the nearest neighbours (Å) after each atom.
Atoms (fractional coordinates):
Cd 0.0000 0.0000 0.0000  6 O 2.30
Cd 0.3333 0.6667 0.6667  6 O 2.30
Cd 0.6667 0.3333 0.3333  6 O 2.30
P 0.0000 0.0000 0.5000  2 O 1.69
P 0.3333 0.6667 0.1667  2 O 1.69
P 0.6667 0.3333 0.8333  2 O 1.69
O 0.0000 0.0000 0.4063  1 P 1.69
O 0.0000 0.0000 0.5937  1 P 1.69
O 0.3333 0.6667 0.0729  1 P 1.69
O 0.3333 0.6667 0.2604  1 P 1.69
O 0.6667 0.3333 0.7396  1 P 1.69
O 0.6667 0.3333 0.9271  1 P 1.69

***

no.,uncorrected formation energy (kJ/mol of formula units),energy (eV per formula unit)
1,-1661,-78.53
2,-2447,-88.05
3,-289,-19.23